## Y2Tl2In (PBE-GGA)

Data for a geometry-optimized Y2Tl2In structure.

```
10
Lattice="5.0801 0.0000 0.0000 -2.5401 4.3995 0.0000 0.0000 0.0000 12.6112" Properties=species:S:1:pos:R:3 pbc="T T T"
Y 0.0000 2.9330 1.2625
Y 0.0000 2.9330 5.0431
Y 2.5401 1.4665 7.5682
Y 2.5401 1.4665 11.3487
Tl 0.0000 0.0000 0.0000
Tl 0.0000 0.0000 6.3056
Tl 0.0000 2.9330 9.4584
Tl 2.5401 1.4665 3.1528
In 0.0000 0.0000 3.1528
In 0.0000 0.0000 9.4584
```

Results
For the volume, the calculation gives 28.2 Å³/atom. The calculation puts the density of states at the Fermi level at 0.707 states/eV per atom. The value obtained for the calculated density is 8.3 g cm⁻³. For the polymorph energy (0 for the lowest one), the calculation gives 83 meV per atom. For the size of the total moment, the calculation gives 0.000 μB per formula unit. The energy relative to the elements is -117 kJ/mol of formula units.